Material: AlNiPtAu2
Method: DFT, SCAN
State: PBEsol geometry

Properties
Theoretical density   12.66 g/cm³
Crystal system   tetragonal
Total energy   -45.87 eV/atom
Calculated formation energy   0.62 eV/atom

a b c (Å): 4.604 4.604 4.173
angles (deg): 90.00 90.00 90.00
Space group P4/mmm (No. 123)
Unique sites:
Al 0.000 0.000 0.000
Ni 0.000 0.000 0.500
Pt 0.500 0.500 0.000
Au 0.000 0.500 0.500

Material: AlNi2AuS
Method: DFT, SCAN
State: PBEsol geometry

Properties
Theoretical density   6.28 g/cm³
Crystal system   tetragonal
Total energy   -22.70 eV/atom
E_form (uncorrected)   103 kJ per mole of atoms

a b c (Å): 4.681 4.681 4.505
angles (deg): 90.00 90.00 90.00
Space group P4/mmm (No. 123)
Unique sites:
Al 0.000 0.000 0.000
Ni 0.000 0.500 0.500
Au 0.500 0.500 0.500
S 0.500 0.500 0.000

Material: AlNiAuSe2
Method: DFT, SCAN
State: PBEsol geometry

Properties
Theoretical density   6.28 g/cm³
Crystal system   tetragonal
Total energy   -25.94 eV/atom
E_form (uncorrected)   68 kJ per mole of atoms

a b c (Å): 4.997 4.997 4.665
angles (deg): 90.00 90.00 90.00
Space group P4/mmm (No. 123)
Unique sites:
Al 0.000 0.000 0.000
Ni 0.500 0.500 0.000
Au 0.500 0.500 0.500
Se 0.000 0.500 0.500

Material: AlAuO3
Method: DFT, SCAN
State: PBEsol geometry

Properties
Theoretical density   7.14 g/cm³
Crystal system   cubic
Total energy   -19.04 eV/atom
E_form (uncorrected)   8 kJ per mole of atoms

a b c (Å): 3.983 3.983 3.983
angles (deg): 90.00 90.00 90.00
Space group Pm-3m (No. 221)
Unique sites:
Al 0.000 0.000 0.000
Au 0.500 0.500 0.500
O 0.000 0.500 0.500

Question: Number 2 is which compound?
Answer: AlNi2AuS